Arrangement a

The following is a DFT calculation (PBE) of crystalline PmPr2Zn3 at its relaxed geometry.

space-group type: P-3m1 (164)
total magnetization: 0.00 μB/cell
N(E_F): 5.8 states/eV/f.u.

a b c (Å): 5.2188 5.2188 6.4054
angles (deg): 90.00 90.00 120.00
Sites, in units of the cell vectors:
Pr1 0.3333 0.6667 0.6694
Pr2 0.6667 0.3333 0.3306
Zn1 0.0000 0.0000 0.5000
Zn2 0.3333 0.6667 0.1648
Zn3 0.6667 0.3333 0.8352
Pm1 0.0000 0.0000 0.0000


Arrangement b

The following is a DFT calculation (PBE) of crystalline PmPr2Zn3 at its relaxed geometry.

space-group type: P4/mmm (123)
total magnetization: 0.00 μB/cell
N(E_F): 7.8 states/eV/f.u.

a b c (Å): 3.6949 3.6949 11.1110
angles (deg): 90.00 90.00 90.00
Sites, in units of the cell vectors:
Zn1 0.0000 0.0000 0.0000
Zn2 0.0000 0.0000 0.6609
Zn3 0.0000 0.0000 0.3391
Pr1 0.5000 0.5000 0.8313
Pr2 0.5000 0.5000 0.1687
Pm1 0.5000 0.5000 0.5000


Going by the computed energies, the most stable comes first: arrangement a, arrangement b.


Arrangement a

The following is a DFT calculation (PBE) of crystalline Pm2Pr8Zn at its relaxed geometry.

space-group type: C2/m (12)
total magnetization: 0.00 μB/cell
N(E_F): 13.8 states/eV/f.u.

a b c (Å): 5.7809 6.6191 10.2418
angles (deg): 93.17 106.39 90.00
Sites, in units of the cell vectors:
Pm1 0.7633 0.6673 0.5266
Pm2 0.2367 0.3327 0.4734
Pr1 0.6551 0.1205 0.3103
Pr2 0.0391 0.2513 0.0783
Pr3 0.9609 0.7487 0.9217
Pr4 0.8446 0.1937 0.6893
Pr5 0.4209 0.3909 0.8418
Pr6 0.5791 0.6091 0.1582
Pr7 0.1554 0.8063 0.3107
Pr8 0.3449 0.8795 0.6897
Zn1 0.5000 0.0000 0.0000


Arrangement b

The following is a DFT calculation (PBE) of crystalline Pm2Pr8Zn at its relaxed geometry.

space-group type: C2/m (12)
total magnetization: 0.00 μB/cell
N(E_F): 16.7 states/eV/f.u.

a b c (Å): 5.7532 7.6239 9.5459
angles (deg): 108.44 107.54 90.00
Sites, in units of the cell vectors:
Pr1 0.1858 0.2288 0.3717
Pr2 0.6564 0.9356 0.3128
Pr3 0.9875 0.2243 0.9750
Pr4 0.3965 0.5762 0.7931
Pr5 0.0125 0.7757 0.0250
Pr6 0.6035 0.4238 0.2069
Pr7 0.8142 0.7712 0.6283
Pr8 0.3436 0.0644 0.6872
Pm1 0.8148 0.3322 0.6296
Pm2 0.1852 0.6678 0.3704
Zn1 0.5000 0.0000 0.0000


Going by the computed energies, the most stable comes first: arrangement a, arrangement b.


Arrangement a

The following is a DFT calculation (PBE) of crystalline Pm8Pr2Zn at its relaxed geometry.

space-group type: C2/m (12)
total magnetization: 0.00 μB/cell
N(E_F): 14.6 states/eV/f.u.

a b c (Å): 5.7076 6.5710 10.1420
angles (deg): 93.29 106.34 90.00
Sites, in units of the cell vectors:
Pm1 0.6540 0.1197 0.3081
Pm2 0.8456 0.1901 0.6913
Pm3 0.4219 0.3907 0.8439
Pm4 0.0391 0.2523 0.0781
Pm5 0.3460 0.8803 0.6919
Pm6 0.9609 0.7477 0.9219
Pm7 0.1544 0.8099 0.3087
Pm8 0.5781 0.6093 0.1561
Zn1 0.5000 0.0000 0.0000
Pr1 0.2375 0.3314 0.4750
Pr2 0.7625 0.6686 0.5250


Arrangement b

The following is a DFT calculation (PBE) of crystalline Pm8Pr2Zn at its relaxed geometry.

space-group type: C2/m (12)
total magnetization: 0.00 μB/cell
N(E_F): 16.7 states/eV/f.u.

a b c (Å): 5.6746 7.5433 9.4584
angles (deg): 108.10 107.46 90.00
Sites, in units of the cell vectors:
Pr1 0.8153 0.3301 0.6305
Pr2 0.1847 0.6699 0.3695
Pm1 0.6020 0.4213 0.2040
Pm2 0.8151 0.7713 0.6303
Pm3 0.9866 0.2223 0.9732
Pm4 0.1849 0.2287 0.3697
Pm5 0.6559 0.9362 0.3118
Pm6 0.3441 0.0638 0.6882
Pm7 0.0134 0.7777 0.0268
Pm8 0.3980 0.5787 0.7960
Zn1 0.5000 0.0000 0.0000


Going by the computed energies, the most stable comes first: arrangement a, arrangement b.


Arrangement a

The following is a DFT calculation (PBE) of crystalline Pm2PrZn at its relaxed geometry.

space-group type: P4/mmm (123)
total magnetization: 0.00 μB/cell
N(E_F): 4.3 states/eV/f.u.

a b c (Å): 3.6759 3.6759 8.8525
angles (deg): 90.00 90.00 90.00
Sites, in units of the cell vectors:
Zn1 0.5000 0.5000 0.0000
Pr1 0.5000 0.5000 0.5000
Pm1 0.0000 0.0000 0.2045
Pm2 0.0000 0.0000 0.7955


Arrangement b

The following is a DFT calculation (PBE) of crystalline Pm2PrZn at its relaxed geometry.

space-group type: P4/mmm (123)
total magnetization: 0.00 μB/cell
N(E_F): 6.5 states/eV/f.u.

a b c (Å): 4.8869 4.8691 4.8691
angles (deg): 90.00 90.00 90.00
Sites, in units of the cell vectors:
Pr1 0.5000 0.5000 0.5000
Pm1 0.0000 0.5000 0.0000
Pm2 0.0000 0.0000 0.5000
Zn1 0.5000 0.0000 0.0000


Arrangement c

The following is a DFT calculation (PBE) of crystalline Pm2PrZn at its relaxed geometry.

space-group type: R-3m (166)
total magnetization: 0.00 μB/cell
N(E_F): 4.0 states/eV/f.u.

a b c (Å): 3.6743 3.6743 10.8477
angles (deg): 80.25 80.25 60.00
Sites, in units of the cell vectors:
Pm1 0.2619 0.2619 0.2144
Pm2 0.7381 0.7381 0.7856
Zn1 0.0000 0.0000 0.0000
Pr1 0.5000 0.5000 0.5000


Arrangement d

The following is a DFT calculation (PBE) of crystalline Pm2PrZn at its relaxed geometry.

space-group type: R3m (160)
total magnetization: 0.00 μB/cell
N(E_F): 5.2 states/eV/f.u.

a b c (Å): 5.4977 5.4977 5.4914
angles (deg): 59.96 59.96 60.00
Sites, in units of the cell vectors:
Pr1 0.5007 0.5007 0.4979
Pm1 0.2501 0.2501 0.2496
Pm2 0.9992 0.9992 0.0023
Zn1 0.7499 0.7499 0.7502


Going by the computed energies, the most stable comes first: arrangement a, arrangement c, arrangement b, arrangement d.


Arrangement a

The following is a DFT calculation (PBE) of crystalline PmPr3Zn2 at its relaxed geometry.

space-group type: P4/mmm (123)
total magnetization: 0.00 μB/cell
N(E_F): 5.9 states/eV/f.u.

a b c (Å): 3.7166 3.7166 12.5648
angles (deg): 90.00 90.00 90.00
Sites, in units of the cell vectors:
Pr1 0.0000 0.0000 0.2917
Pr2 0.0000 0.0000 0.7083
Pr3 0.0000 0.0000 0.0000
Zn1 0.5000 0.5000 0.8530
Zn2 0.5000 0.5000 0.1470
Pm1 0.5000 0.5000 0.5000


Arrangement b

The following is a DFT calculation (PBE) of crystalline PmPr3Zn2 at its relaxed geometry.

space-group type: Ibam (72)
total magnetization: 0.00 μB/cell
N(E_F): 10.6 states/eV/f.u.

a b c (Å): 7.0636 7.3138 9.0947
angles (deg): 113.71 112.85 90.00
Sites, in units of the cell vectors:
Pm1 0.0000 0.0000 0.0000
Pm2 0.0000 0.5000 0.0000
Pr1 0.7745 0.5245 0.5490
Pr2 0.2255 0.4755 0.4510
Pr3 0.7745 0.0245 0.5490
Pr4 0.5000 0.7500 0.0000
Pr5 0.5000 0.2500 0.0000
Pr6 0.2255 0.9755 0.4510
Zn1 0.4346 0.6373 0.2746
Zn2 0.1600 0.8627 0.7254
Zn3 0.8400 0.1373 0.2746
Zn4 0.5654 0.3627 0.7254


Going by the computed energies, the most stable comes first: arrangement a, arrangement b.


Arrangement a

The following is a DFT calculation (PBE) of crystalline PmPr2Zn2 at its relaxed geometry.

space-group type: P2_1/m (11)
total magnetization: 0.00 μB/cell
N(E_F): 5.6 states/eV/f.u.

a b c (Å): 4.4430 4.6834 13.6719
angles (deg): 100.46 90.00 90.00
Sites, in units of the cell vectors:
Pr1 0.7500 0.0567 0.1100
Pr2 0.2500 0.2662 0.5293
Pr3 0.2500 0.9433 0.8900
Pr4 0.7500 0.7338 0.4707
Zn1 0.2500 0.8375 0.6656
Zn2 0.2500 0.5259 0.0478
Zn3 0.7500 0.1625 0.3344
Zn4 0.7500 0.4741 0.9522
Pm1 0.2500 0.6326 0.2690
Pm2 0.7500 0.3674 0.7310


Arrangement b

The following is a DFT calculation (PBE) of crystalline PmPr2Zn2 at its relaxed geometry.

space-group type: P2_1/m (11)
total magnetization: 0.00 μB/cell
N(E_F): 5.6 states/eV/f.u.

a b c (Å): 3.7440 5.3015 13.9099
angles (deg): 90.00 97.76 90.00
Sites, in units of the cell vectors:
Zn1 0.4491 0.7500 0.8994
Zn2 0.3601 0.2500 0.7227
Zn3 0.5509 0.2500 0.1006
Zn4 0.6399 0.7500 0.2773
Pr1 0.0461 0.7500 0.0911
Pr2 0.2310 0.7500 0.4628
Pr3 0.9539 0.2500 0.9089
Pr4 0.7690 0.2500 0.5372
Pm1 0.1432 0.2500 0.2826
Pm2 0.8568 0.7500 0.7174


Going by the computed energies, the most stable comes first: arrangement b, arrangement a.


Arrangement a

The following is a DFT calculation (PBE) of crystalline Pm6Pr2Zn at its relaxed geometry.

space-group type: C2/m (12)
total magnetization: 0.00 μB/cell
N(E_F): 13.9 states/eV/f.u.

a b c (Å): 3.5977 9.6404 10.0216
angles (deg): 118.75 90.12 90.00
Sites, in units of the cell vectors:
Pr1 0.4972 0.6728 0.3457
Pr2 0.5028 0.3272 0.6543
Pm1 0.0001 0.0081 0.6754
Pm2 0.5000 0.7257 0.0000
Pm3 0.5000 0.2743 0.0000
Pm4 0.9999 0.9919 0.3246
Pm5 0.9999 0.3327 0.3246
Pm6 0.0001 0.6673 0.6754
Zn1 0.0000 0.0000 0.0000


Arrangement b

The following is a DFT calculation (PBE) of crystalline Pm6Pr2Zn at its relaxed geometry.

space-group type: P-62m (189)
total magnetization: 0.00 μB/cell
N(E_F): 11.3 states/eV/f.u.

a b c (Å): 3.7647 9.5428 9.5412
angles (deg): 120.01 90.00 90.00
Sites, in units of the cell vectors:
Zn1 0.5000 0.0002 0.0000
Pm1 0.5000 0.3827 0.3826
Pm2 0.0000 0.2556 0.0000
Pm3 0.5000 0.0001 0.6174
Pm4 0.0000 0.9999 0.2553
Pm5 0.5000 0.6171 0.0000
Pm6 0.0000 0.7445 0.7447
Pr1 0.0000 0.3332 0.6665
Pr2 0.0000 0.6668 0.3335


Going by the computed energies, the most stable comes first: arrangement b, arrangement a.


Arrangement a

The following is a DFT calculation (PBE) of crystalline Pm3Pr2Zn2 at its relaxed geometry.

space-group type: C2/m (12)
total magnetization: 0.00 μB/cell
N(E_F): 9.2 states/eV/f.u.

a b c (Å): 4.7672 6.4002 8.2785
angles (deg): 114.14 90.00 111.87
Sites, in units of the cell vectors:
Pm1 0.3663 0.7325 0.5313
Pm2 0.5000 0.0000 0.0000
Pm3 0.6337 0.2675 0.4687
Pr1 0.1407 0.2813 0.8015
Pr2 0.8593 0.7187 0.1985
Zn1 0.1437 0.2875 0.1933
Zn2 0.8563 0.7125 0.8067


Arrangement b

The following is a DFT calculation (PBE) of crystalline Pm3Pr2Zn2 at its relaxed geometry.

space-group type: Cmmm (65)
total magnetization: 0.01 μB/cell
N(E_F): 8.3 states/eV/f.u.

a b c (Å): 3.7200 3.6452 15.5201
angles (deg): 90.00 96.88 90.00
Sites, in units of the cell vectors:
Pr1 0.2998 0.5000 0.5995
Pr2 0.7002 0.5000 0.4005
Zn1 0.8594 0.0000 0.7187
Zn2 0.1406 0.0000 0.2813
Pm1 0.0000 0.0000 0.0000
Pm2 0.5841 0.5000 0.1682
Pm3 0.4159 0.5000 0.8318


Going by the computed energies, the most stable comes first: arrangement b, arrangement a.


Arrangement a

The following is a DFT calculation (PBE) of crystalline Pm2PrZr at its relaxed geometry.

space-group type: R-3m (166)
total magnetization: 0.00 μB/cell
N(E_F): 5.0 states/eV/f.u.

a b c (Å): 3.4402 3.4402 12.4463
angles (deg): 82.06 82.06 60.00
Sites, in units of the cell vectors:
Pm1 0.9158 0.9158 0.2526
Pm2 0.0842 0.0842 0.7474
Zr1 0.0000 0.0000 0.0000
Pr1 0.5000 0.5000 0.5000


Arrangement b

The following is a DFT calculation (PBE) of crystalline Pm2PrZr at its relaxed geometry.

space-group type: R3m (160)
total magnetization: 0.00 μB/cell
N(E_F): 5.0 states/eV/f.u.

a b c (Å): 3.5255 3.5255 11.7886
angles (deg): 81.40 81.40 60.00
Sites, in units of the cell vectors:
Pm1 0.0768 0.0768 0.7696
Pm2 0.2569 0.2569 0.2292
Pr1 0.4993 0.4993 0.5020
Zr1 0.6670 0.6670 0.9991


Arrangement c

The following is a DFT calculation (PBE) of crystalline Pm2PrZr at its relaxed geometry.

space-group type: P4/mmm (123)
total magnetization: 0.00 μB/cell
N(E_F): 4.1 states/eV/f.u.

a b c (Å): 5.0082 4.9853 4.9853
angles (deg): 90.00 90.00 90.00
Sites, in units of the cell vectors:
Pm1 0.0000 0.0000 0.5000
Pm2 0.0000 0.5000 0.0000
Pr1 0.5000 0.0000 0.0000
Zr1 0.5000 0.5000 0.5000


Going by the computed energies, the most stable comes first: arrangement b, arrangement c, arrangement a.


Arrangement a

The following is a DFT calculation (PBE) of crystalline Pm3Pt4 at its relaxed geometry.

space-group type: Cmcm (63)
total magnetization: 0.00 μB/cell
N(E_F): 3.5 states/eV/f.u.

a b c (Å): 4.0273 5.6800 14.8474
angles (deg): 90.00 90.00 110.76
Sites, in units of the cell vectors:
Pt1 0.0011 0.0021 0.0003
Pt2 0.0012 0.0024 0.5003
Pt3 0.3804 0.7608 0.3960
Pt4 0.6220 0.2440 0.6047
Pt5 0.3803 0.7607 0.1047
Pt6 0.7911 0.5822 0.7503
Pt7 0.6219 0.2437 0.8959
Pt8 0.2112 0.4224 0.2504
Pm1 0.3378 0.6756 0.9027
Pm2 0.6644 0.3288 0.0980
Pm3 0.0654 0.1309 0.7503
Pm4 0.3379 0.6759 0.5980
Pm5 0.9369 0.8738 0.2503
Pm6 0.6645 0.3290 0.4027


Arrangement b

The following is a DFT calculation (PBE) of crystalline Pm3Pt4 at its relaxed geometry.

space-group type: R-3 (148)
total magnetization: 0.00 μB/cell
N(E_F): 2.4 states/eV/f.u.

a b c (Å): 5.8228 8.0888 8.0888
angles (deg): 114.43 103.88 103.88
Sites, in units of the cell vectors:
Pt1 0.5000 0.0000 0.0000
Pt2 0.5587 0.5053 0.8352
Pt3 0.9466 0.6701 0.5053
Pt4 0.0534 0.3299 0.4947
Pt5 0.2765 0.8352 0.3299
Pt6 0.4413 0.4947 0.1648
Pt7 0.0000 0.0000 0.0000
Pt8 0.7235 0.1648 0.6701
Pm1 0.0946 0.6237 0.8755
Pm2 0.4710 0.2518 0.3763
Pm3 0.2191 0.1245 0.7482
Pm4 0.9054 0.3763 0.1245
Pm5 0.7809 0.8755 0.2518
Pm6 0.5290 0.7482 0.6237


Going by the computed energies, the most stable comes first: arrangement b, arrangement a.


Arrangement a

The following is a DFT calculation (PBE) of crystalline PmPuPt2 at its relaxed geometry.

space-group type: R-3m (166)
total magnetization: 5.20 μB/cell
N(E_F): 12.7 states/eV/f.u.

a b c (Å): 4.1712 4.1712 7.0166
angles (deg): 72.71 72.71 60.00
Each line ends with the local moment (μB).
Sites, in units of the cell vectors:
Pu1 0.0000 0.0000 0.0000  5.05
Pt1 0.7443 0.7443 0.7671  -0.06
Pt2 0.2557 0.2557 0.2329  -0.06
Pm1 0.5000 0.5000 0.5000  0.04


Arrangement b

The following is a DFT calculation (PBE) of crystalline PmPuPt2 at its relaxed geometry.

space-group type: Fm-3m (225)
total magnetization: 5.74 μB/cell
N(E_F): 12.5 states/eV/f.u.

a b c (Å): 5.0218 5.0218 5.0218
angles (deg): 60.00 60.00 60.00
Each line ends with the local moment (μB).
Sites, in units of the cell vectors:
Pt1 0.2500 0.2500 0.2500  -0.02
Pt2 0.7500 0.7500 0.7500  -0.02
Pm1 0.5000 0.5000 0.5000  0.12
Pu1 0.0000 0.0000 0.0000  5.27


Going by the computed energies, the most stable comes first: arrangement b, arrangement a.